No. 1
The following is a DFT calculation (GGA-PBE) of a relaxed structure of ZnCd.

The value obtained for the energy relative to the elements is 0.09 eV per atom.

```
data_ZnCd
_symmetry_space_group_name_H-M 'P -1'
_symmetry_Int_Tables_number 2
_cell_length_a 2.912
_cell_length_b 3.126
_cell_length_c 4.688
_cell_angle_alpha 73.75
_cell_angle_beta 78.84
_cell_angle_gamma 75.51
loop_
_symmetry_equiv_pos_as_xyz
'x,y,z'
'-x,-y,-z'
loop_
_atom_site_label
_atom_site_type_symbol
_atom_site_fract_x
_atom_site_fract_y
_atom_site_fract_z
_atom_site_occupancy
Zn1 Zn 0.000 0.000 0.000 1
Cd1 Cd 0.500 0.500 0.500 1
```

No. 2
The following is a DFT calculation (GGA-PBE) of a relaxed structure of AcSmHgAu.

The value obtained for the energy relative to the elements is -0.59 eV per atom. As for the energy above the most stable polymorph in this dataset: 37 meV per atom.

```
data_AcSmHgAu
_symmetry_space_group_name_H-M 'F -4 3 m'
_symmetry_Int_Tables_number 216
_symmetry_space_group_name_Hall 'F -4 2 3'
_cell_length_a 7.729
_cell_length_b 7.729
_cell_length_c 7.729
_cell_angle_alpha 90.00
_cell_angle_beta 90.00
_cell_angle_gamma 90.00
loop_
_atom_site_label
_atom_site_type_symbol
_atom_site_fract_x
_atom_site_fract_y
_atom_site_fract_z
_atom_site_occupancy
Ac1 Ac 0.000 0.000 0.000 1
Sm1 Sm 0.000 0.000 0.500 1
Hg1 Hg 0.250 0.250 0.750 1
Au1 Au 0.250 0.250 0.250 1
```

No. 3
The following is a DFT calculation (GGA-PBE) of a relaxed structure of LaMg2AlPt.

The value obtained for the energy relative to the elements is -0.51 eV per atom.

```
data_LaMg2AlPt
_symmetry_space_group_name_H-M 'P 4/m m m'
_symmetry_Int_Tables_number 123
_symmetry_space_group_name_Hall '-P 4 2'
_cell_length_a 4.995
_cell_length_b 4.995
_cell_length_c 4.820
_cell_angle_alpha 90.00
_cell_angle_beta 90.00
_cell_angle_gamma 90.00
loop_
_atom_site_label
_atom_site_type_symbol
_atom_site_fract_x
_atom_site_fract_y
_atom_site_fract_z
_atom_site_occupancy
La1 La 0.000 0.000 0.000 1
Mg1 Mg 0.000 0.500 0.500 1
Al1 Al 0.500 0.500 0.000 1
Pt1 Pt 0.500 0.500 0.500 1
```

No. 4
The following is a DFT calculation (GGA-PBE) of a relaxed structure of La3Er3ScSe8.

```
data_La3Er3ScSe8
_symmetry_space_group_name_H-M 'R -3 m'
_symmetry_Int_Tables_number 166
_symmetry_space_group_name_Hall '-R 3 2"'
_cell_length_a 8.1990
_cell_length_b 8.1990
_cell_length_c 20.7344
_cell_angle_alpha 90.00
_cell_angle_beta 90.00
_cell_angle_gamma 120.00
loop_
_atom_site_label
_atom_site_type_symbol
_atom_site_fract_x
_atom_site_fract_y
_atom_site_fract_z
_atom_site_occupancy
La1 La 0.0000 0.5000 0.0000 1
Er1 Er 0.0000 0.5000 0.5000 1
Sc1 Sc 0.0000 0.0000 0.5000 1
Se1 Se 0.0000 0.0000 0.2428 1
Se2 Se 0.0026 0.5013 0.2422 1
```

No. 5
The following is a DFT calculation (GGA-PBE) of a relaxed structure of NbTlGe2.

The value obtained for the energy relative to the elements is 0.63 eV per atom. As for the energy above the most stable polymorph in this dataset: 75 meV per atom.

```
data_NbTlGe2
_symmetry_space_group_name_H-M 'I -4 2 d'
_symmetry_Int_Tables_number 122
_symmetry_space_group_name_Hall 'I -4 2bw'
_cell_length_a 6.181
_cell_length_b 6.181
_cell_length_c 12.297
_cell_angle_alpha 90.00
_cell_angle_beta 90.00
_cell_angle_gamma 90.00
loop_
_atom_site_label
_atom_site_type_symbol
_atom_site_fract_x
_atom_site_fract_y
_atom_site_fract_z
_atom_site_occupancy
Nb1 Nb 0.000 0.000 0.000 1
Tl1 Tl 0.000 0.000 0.500 1
Ge1 Ge 0.210 0.250 0.125 1
```

No. 6
The following is a DFT calculation (GGA-PBE) of a relaxed structure of Pr6In3Pd.

The value obtained for the energy relative to the elements is -0.37 eV per atom.

```
data_Pr6In3Pd
_symmetry_space_group_name_H-M 'P n n m'
_symmetry_Int_Tables_number 58
_cell_length_a 9.520
_cell_length_b 12.029
_cell_length_c 5.424
_cell_angle_alpha 90.00
_cell_angle_beta 90.00
_cell_angle_gamma 90.00
loop_
_symmetry_equiv_pos_as_xyz
'x,y,z'
'-x,-y,-z'
'-x,-y,z'
'x,y,-z'
'x+1/2,-y+1/2,-z+1/2'
'-x+1/2,y+1/2,z+1/2'
'-x+1/2,y+1/2,-z+1/2'
'x+1/2,-y+1/2,z+1/2'
loop_
_atom_site_label
_atom_site_type_symbol
_atom_site_fract_x
_atom_site_fract_y
_atom_site_fract_z
_atom_site_occupancy
Pr1 Pr 0.004 0.238 0.000 1
Pr2 Pr 0.162 0.082 0.500 1
Pr3 Pr 0.175 0.416 0.500 1
In1 In 0.000 0.500 0.000 1
In2 In 0.164 0.734 0.500 1
Pd1 Pd 0.000 0.000 0.000 1
```

Electronic total energy in eV/atom, matching the order above: -1.008 -3.687 -4.087 -6.052 -4.790 -4.579
Total magnetization in μB/f.u., matching the order above: 0.0 0.0 0.0 0.0 0.0 0.0